The following is a PBE calculation of YNCl2 after structural relaxation, from the Alexandria database.

a = 3.785 Å, b = 3.785 Å, c = 10.699 Å
α = 79.81°, β = 79.81°, γ = 90.00°
Sites, in units of the cell vectors:
Y (0.750, 0.250, 0.500)
Y (0.000, 0.000, 0.000)
N (0.500, 0.500, 0.000)
N (0.250, 0.750, 0.500)
Cl (0.875, 0.878, 0.750)
Cl (0.628, 0.125, 0.250)
Cl (0.122, 0.625, 0.250)
Cl (0.375, 0.372, 0.750)

Computed properties:
Formation energy (no corrections), eV/atom: -0.2610
Spin magnetization, μB per atom: 0.286
E_tot, eV per cell: -39.1
Space-group type: I-42d (122)

The following is a PBE calculation of Pu2ReC2 after structural relaxation, from the Alexandria database.

a = 5.134 Å, b = 6.422 Å, c = 9.830 Å
α = 90.00°, β = 90.00°, γ = 90.00°
Sites, in units of the cell vectors:
C (0.250, 0.044, 0.255)
C (0.750, 0.831, 0.057)
C (0.250, 0.169, 0.943)
C (0.250, 0.544, 0.245)
C (0.750, 0.956, 0.745)
C (0.250, 0.669, 0.557)
C (0.750, 0.331, 0.443)
C (0.750, 0.456, 0.755)
Pu (0.750, 0.531, 0.225)
Pu (0.750, 0.031, 0.275)
Pu (0.250, 0.807, 0.047)
Pu (0.250, 0.469, 0.775)
Pu (0.250, 0.969, 0.725)
Pu (0.750, 0.693, 0.547)
Pu (0.250, 0.307, 0.453)
Pu (0.750, 0.193, 0.953)
Re (0.250, 0.783, 0.369)
Re (0.250, 0.283, 0.131)
Re (0.750, 0.217, 0.631)
Re (0.750, 0.717, 0.869)

Computed properties:
Spin magnetization, μB per atom: 0.001
E_tot, eV per cell: -239.8
Space-group type: Pnma (62)